No. 1
The following is a DFT calculation (PBE) of a relaxed Ac2TbCd6 crystal.

Geometry as extended XYZ:
```
9
Lattice="3.735 0.000 0.001 0.001 7.676 4.415 -0.001 0.016 8.855" Properties=species:S:1:pos:R:3 pbc="T T T"
Ac 0.000 2.564 4.423
Ac 0.000 5.128 8.847
Tb 0.000 0.000 0.000
Cd 1.867 5.195 11.834
Cd 1.868 0.005 2.880
Cd 1.869 2.496 1.436
Cd 1.868 5.184 5.859
Cd 1.867 7.687 10.390
Cd 1.867 2.507 7.411
```

Calculated values
E	-2.346	eV/atom
total magnetic moment	0.002	μB per cell
formation energy from the elements	-0.308	eV/atom


No. 2
The following is a DFT calculation (PBE) of a relaxed TlSeBr crystal.

Geometry as extended XYZ:
```
6
Lattice="-0.927 -2.204 -3.370 4.873 0.124 -1.422 -0.163 -9.216 6.122" Properties=species:S:1:pos:R:3 pbc="T T T"
Tl 0.984 -7.623 1.443
Tl 4.488 -9.420 4.186
Se -0.413 -4.251 -0.449
Se 1.160 -3.739 1.316
Br 3.962 -6.761 2.596
Br 1.512 -10.278 3.036
```

Calculated values
E	-2.968	eV/atom
E_form (uncorrected)	-1.380	eV/f.u.
total magnetic moment	0.000	μB per cell


No. 3
The following is a DFT calculation (PBE) of a relaxed In2CuAuS4 crystal.

Geometry as extended XYZ:
```
8
Lattice="5.707 0.250 0.000 -0.224 5.708 0.000 -2.741 -2.979 5.770" Properties=species:S:1:pos:R:3 pbc="T T T"
In 2.853 0.125 2.830
In -0.112 2.854 2.830
Cu 0.000 0.000 5.434
Au 0.000 0.000 0.779
S 1.348 1.465 4.330
S 1.464 4.154 1.275
S 4.018 1.804 1.275
S -1.348 -1.465 4.330
```

Calculated values
E	-4.066	eV/atom
E_form (uncorrected)	-3.172	eV/f.u.
total magnetic moment	0.000	μB per cell


The lowest E belongs to which entry?
In2CuAuS4


Among the records above, which one has the highest total magnetic moment?
Ac2TbCd6